#A
Computed, not measured: a relaxed structure of CsErNiSe3 at the PBE-GGA level of DFT.

a = 11.235 Å, b = 4.303 Å, c = 13.317 Å
α = 90.00°, β = 90.00°, γ = 90.00°
Element x y z (fractional)
Cs (0.180, 0.250, 0.007)
Cs (0.320, 0.750, 0.507)
Cs (0.680, 0.250, 0.493)
Cs (0.820, 0.750, 0.993)
Er (0.001, 0.250, 0.685)
Er (0.499, 0.750, 0.185)
Er (0.501, 0.250, 0.815)
Er (0.999, 0.750, 0.315)
Ni (0.237, 0.250, 0.296)
Ni (0.263, 0.750, 0.796)
Ni (0.737, 0.250, 0.204)
Ni (0.763, 0.750, 0.704)
Se (0.054, 0.750, 0.818)
Se (0.090, 0.250, 0.430)
Se (0.232, 0.750, 0.224)
Se (0.268, 0.250, 0.724)
Se (0.410, 0.750, 0.930)
Se (0.446, 0.250, 0.318)
Se (0.554, 0.750, 0.682)
Se (0.590, 0.250, 0.070)
Se (0.732, 0.750, 0.276)
Se (0.768, 0.250, 0.776)
Se (0.910, 0.750, 0.570)
Se (0.946, 0.250, 0.182)



#B
Computed, not measured: a relaxed structure of CsErNiSe3 at the PBE-GGA level of DFT.

a = 9.722 Å, b = 4.076 Å, c = 9.980 Å
α = 90.00°, β = 112.43°, γ = 90.00°
Element x y z (fractional)
Cs (0.215, 0.250, 0.249)
Cs (0.785, 0.750, 0.751)
Er (0.328, 0.750, 0.864)
Er (0.672, 0.250, 0.136)
Ni (0.076, 0.250, 0.601)
Ni (0.924, 0.750, 0.399)
Se (0.123, 0.250, 0.856)
Se (0.176, 0.750, 0.549)
Se (0.480, 0.750, 0.166)
Se (0.520, 0.250, 0.834)
Se (0.824, 0.250, 0.451)
Se (0.877, 0.750, 0.144)



#B has the most favorable energy; the next structure is 109 meV/atom above.



#A
Computed, not measured: a relaxed structure of CsErNp at the PBE-GGA level of DFT.

a = 5.350 Å, b = 5.350 Å, c = 5.350 Å
α = 60.00°, β = 60.00°, γ = 60.00°
Element x y z (fractional)
Cs (0.000, 0.000, 0.000)
Er (0.750, 0.750, 0.750)
Np (0.250, 0.250, 0.250)



#B
Computed, not measured: a relaxed structure of CsErNp at the PBE-GGA level of DFT.

a = 6.117 Å, b = 6.117 Å, c = 6.117 Å
α = 60.00°, β = 60.00°, γ = 60.00°
Element x y z (fractional)
Cs (0.000, 0.000, 0.000)
Er (0.250, 0.250, 0.250)
Np (0.500, 0.500, 0.500)



#B has the most favorable energy; the next structure is 104 meV/atom above.



#A
Computed, not measured: a relaxed structure of CsErSO at the PBE-GGA level of DFT.

a = 4.369 Å, b = 8.612 Å, c = 6.799 Å
α = 90.00°, β = 90.00°, γ = 90.00°
Element x y z (fractional)
Cs (0.000, 0.189, 0.000)
Cs (0.000, 0.811, 0.500)
Er (0.500, 0.382, 0.444)
Er (0.500, 0.618, 0.944)
S (0.000, 0.218, 0.505)
S (0.000, 0.782, 0.005)
O (0.500, 0.433, 0.142)
O (0.500, 0.567, 0.642)



#B
Computed, not measured: a relaxed structure of CsErSO at the PBE-GGA level of DFT.

a = 4.632 Å, b = 4.632 Å, c = 10.591 Å
α = 90.00°, β = 90.00°, γ = 90.00°
Element x y z (fractional)
Cs (0.250, 0.750, 0.000)
Cs (0.750, 0.250, 0.000)
Er (0.250, 0.250, 0.445)
Er (0.750, 0.750, 0.555)
S (0.250, 0.250, 0.212)
S (0.750, 0.750, 0.788)
O (0.250, 0.750, 0.500)
O (0.750, 0.250, 0.500)



#A has the most favorable energy; the next structure is 300 meV/atom above.



#A
Computed, not measured: a relaxed structure of CsErTeO at the PBE-GGA level of DFT.

a = 4.806 Å, b = 9.036 Å, c = 7.164 Å
α = 90.00°, β = 90.00°, γ = 90.00°
Element x y z (fractional)
Cs (0.000, 0.209, 0.000)
Cs (0.000, 0.791, 0.500)
Er (0.500, 0.400, 0.578)
Er (0.500, 0.600, 0.078)
Te (0.000, 0.213, 0.498)
Te (0.000, 0.787, 0.998)
O (0.500, 0.439, 0.868)
O (0.500, 0.561, 0.368)



#B
Computed, not measured: a relaxed structure of CsErTeO at the PBE-GGA level of DFT.

a = 4.482 Å, b = 4.482 Å, c = 10.770 Å
α = 90.00°, β = 90.00°, γ = 90.00°
Element x y z (fractional)
Cs (0.250, 0.750, 0.000)
Cs (0.750, 0.250, 0.000)
Er (0.250, 0.250, 0.437)
Er (0.750, 0.750, 0.563)
Te (0.250, 0.250, 0.743)
Te (0.750, 0.750, 0.257)
O (0.250, 0.750, 0.500)
O (0.750, 0.250, 0.500)



#C
Computed, not measured: a relaxed structure of CsErTeO at the PBE-GGA level of DFT.

a = 9.696 Å, b = 7.398 Å, c = 6.705 Å
α = 90.00°, β = 99.12°, γ = 90.00°
Element x y z (fractional)
Cs (0.131, 0.089, 0.335)
Cs (0.131, 0.411, 0.835)
Cs (0.869, 0.589, 0.165)
Cs (0.869, 0.911, 0.665)
Er (0.493, 0.635, 0.793)
Er (0.493, 0.865, 0.293)
Er (0.507, 0.135, 0.707)
Er (0.507, 0.365, 0.207)
Te (0.267, 0.580, 0.378)
Te (0.267, 0.920, 0.878)
Te (0.733, 0.080, 0.122)
Te (0.733, 0.420, 0.622)
O (0.435, 0.141, 0.384)
O (0.435, 0.359, 0.884)
O (0.565, 0.641, 0.116)
O (0.565, 0.859, 0.616)



#C has the most favorable energy; the next structure is 166 meV/atom above.



#A
Computed, not measured: a relaxed structure of CsErPd at the PBE-GGA level of DFT.

a = 4.992 Å, b = 4.992 Å, c = 4.992 Å
α = 60.00°, β = 60.00°, γ = 60.00°
Element x y z (fractional)
Cs (0.000, 0.000, 0.000)
Er (0.750, 0.750, 0.750)
Pd (0.250, 0.250, 0.250)



#B
Computed, not measured: a relaxed structure of CsErPd at the PBE-GGA level of DFT.

a = 5.064 Å, b = 5.064 Å, c = 5.064 Å
α = 60.00°, β = 60.00°, γ = 60.00°
Element x y z (fractional)
Cs (0.000, 0.000, 0.000)
Er (0.250, 0.250, 0.250)
Pd (0.500, 0.500, 0.500)



#B has the most favorable energy; the next structure is 406 meV/atom above.



#A
Computed, not measured: a relaxed structure of CsErPu at the PBE-GGA level of DFT.

a = 6.003 Å, b = 6.003 Å, c = 6.003 Å
α = 60.00°, β = 60.00°, γ = 60.00°
Element x y z (fractional)
Cs (0.000, 0.000, 0.000)
Er (0.500, 0.500, 0.500)
Pu (0.250, 0.250, 0.250)



#B
Computed, not measured: a relaxed structure of CsErPu at the PBE-GGA level of DFT.

a = 5.606 Å, b = 5.606 Å, c = 5.606 Å
α = 60.00°, β = 60.00°, γ = 60.00°
Element x y z (fractional)
Cs (0.000, 0.000, 0.000)
Er (0.750, 0.750, 0.750)
Pu (0.250, 0.250, 0.250)



#A has the most favorable energy; the next structure is 104 meV/atom above.



#A
Computed, not measured: a relaxed structure of CsErSn at the PBE-GGA level of DFT.

a = 5.701 Å, b = 5.701 Å, c = 3.375 Å
α = 90.00°, β = 90.00°, γ = 120.00°
Element x y z (fractional)
Cs (0.000, 0.000, 0.000)
Er (0.333, 0.667, 0.000)
Sn (0.667, 0.333, 0.500)



#B
Computed, not measured: a relaxed structure of CsErSn at the PBE-GGA level of DFT.

a = 5.504 Å, b = 5.504 Å, c = 5.504 Å
α = 60.00°, β = 60.00°, γ = 60.00°
Element x y z (fractional)
Cs (0.000, 0.000, 0.000)
Er (0.750, 0.750, 0.750)
Sn (0.250, 0.250, 0.250)



#A has the most favorable energy; the next structure is 611 meV/atom above.



#A
Computed, not measured: a relaxed structure of CsErTe at the PBE-GGA level of DFT.

a = 5.685 Å, b = 5.685 Å, c = 5.685 Å
α = 60.00°, β = 60.00°, γ = 60.00°
Element x y z (fractional)
Cs (0.000, 0.000, 0.000)
Er (0.500, 0.500, 0.500)
Te (0.250, 0.250, 0.250)



#B
Computed, not measured: a relaxed structure of CsErTe at the PBE-GGA level of DFT.

a = 5.912 Å, b = 5.912 Å, c = 5.912 Å
α = 60.00°, β = 60.00°, γ = 60.00°
Element x y z (fractional)
Cs (0.000, 0.000, 0.000)
Er (0.250, 0.250, 0.250)
Te (0.750, 0.750, 0.750)



#A has the most favorable energy; the next structure is 450 meV/atom above.



#A
Computed, not measured: a relaxed structure of Cs3HgF6 at the PBE-GGA level of DFT.

a = 6.782 Å, b = 6.782 Å, c = 6.782 Å
α = 60.00°, β = 60.00°, γ = 60.00°
Element x y z (fractional)
Cs (0.000, 0.000, 0.000)
Cs (0.250, 0.250, 0.250)
Cs (0.750, 0.750, 0.750)
Hg (0.500, 0.500, 0.500)
F (0.272, 0.272, 0.728)
F (0.272, 0.728, 0.272)
F (0.272, 0.728, 0.728)
F (0.728, 0.272, 0.272)
F (0.728, 0.272, 0.728)
F (0.728, 0.728, 0.272)



#B
Computed, not measured: a relaxed structure of Cs3HgF6 at the PBE-GGA level of DFT.

a = 6.702 Å, b = 6.865 Å, c = 11.530 Å
α = 90.00°, β = 124.88°, γ = 90.00°
Element x y z (fractional)
Cs (0.000, 0.000, 0.000)
Cs (0.000, 0.500, 0.500)
Cs (0.262, 0.041, 0.750)
Cs (0.262, 0.459, 0.250)
Cs (0.738, 0.541, 0.750)
Cs (0.738, 0.959, 0.250)
Hg (0.500, 0.000, 0.500)
Hg (0.500, 0.500, 0.000)
F (0.188, 0.040, 0.280)
F (0.188, 0.460, 0.780)
F (0.280, 0.686, 0.041)
F (0.280, 0.814, 0.541)
F (0.378, 0.240, 0.058)
F (0.378, 0.260, 0.558)
F (0.622, 0.740, 0.442)
F (0.622, 0.760, 0.942)
F (0.720, 0.186, 0.459)
F (0.720, 0.314, 0.959)
F (0.812, 0.540, 0.220)
F (0.812, 0.960, 0.720)



#B has the most favorable energy; the next structure is 19 meV/atom above.



#A
Computed, not measured: a relaxed structure of Cs2LiHgF6 at the PBE-GGA level of DFT.

a = 6.053 Å, b = 6.053 Å, c = 6.028 Å
α = 119.79°, β = 119.79°, γ = 60.09°
Element x y z (fractional)
Cs (0.250, 0.250, 0.250)
Cs (0.750, 0.750, 0.750)
Li (0.000, 0.000, 0.500)
Hg (0.500, 0.500, 0.000)
F (0.240, 0.240, 0.740)
F (0.241, 0.759, 0.259)
F (0.241, 0.759, 0.741)
F (0.759, 0.241, 0.259)
F (0.759, 0.241, 0.741)
F (0.760, 0.760, 0.260)



#B
Computed, not measured: a relaxed structure of Cs2LiHgF6 at the PBE-GGA level of DFT.

a = 5.966 Å, b = 5.968 Å, c = 8.446 Å
α = 89.99°, β = 90.00°, γ = 89.98°
Element x y z (fractional)
Cs (0.000, 0.000, 0.250)
Cs (0.000, 0.000, 0.750)
Cs (0.500, 0.500, 0.250)
Cs (0.500, 0.500, 0.750)
Li (0.000, 0.500, 0.000)
Li (0.500, 0.000, 0.500)
Hg (0.000, 0.500, 0.500)
Hg (0.500, 0.000, 0.000)
F (0.000, 0.500, 0.240)
F (0.000, 0.500, 0.760)
F (0.237, 0.258, 0.000)
F (0.242, 0.737, 0.000)
F (0.259, 0.762, 0.500)
F (0.262, 0.241, 0.500)
F (0.499, 0.001, 0.260)
F (0.501, 0.999, 0.740)
F (0.738, 0.759, 0.500)
F (0.741, 0.238, 0.500)
F (0.758, 0.263, 0.000)
F (0.763, 0.742, 0.000)



#A has the most favorable energy; the next structure is 30 meV/atom above.



#A
Computed, not measured: a relaxed structure of Cs2PdI2F2 at the PBE-GGA level of DFT.

a = 4.256 Å, b = 7.271 Å, c = 7.222 Å
α = 90.00°, β = 90.00°, γ = 90.00°
Element x y z (fractional)
Cs (0.000, 0.000, 0.000)
Cs (0.000, 0.500, 0.272)
Pd (0.500, 0.500, 0.864)
I (0.500, 0.248, 0.620)
I (0.500, 0.752, 0.620)
F (0.500, 0.294, 0.072)
F (0.500, 0.706, 0.072)



#B
Computed, not measured: a relaxed structure of Cs2PdI2F2 at the PBE-GGA level of DFT.

a = 7.346 Å, b = 7.346 Å, c = 4.282 Å
α = 90.00°, β = 90.00°, γ = 108.03°
Element x y z (fractional)
Cs (0.000, 0.500, 0.000)
Cs (0.500, 0.000, 0.000)
Pd (0.000, 0.000, 0.500)
I (0.303, 0.303, 0.500)
I (0.697, 0.697, 0.500)
F (0.171, 0.829, 0.500)
F (0.829, 0.171, 0.500)



#A has the most favorable energy; the next structure is 19 meV/atom above.